Record 1
A plane-wave DFT calculation with PBEsol was carried out for a relaxed structure of Na2B2As.

abc: 2.7846 2.7846 18.6111
angles: 90.00 90.00 90.00
Element x y z (fractional)
Na 0.0000 0.0000 0.1227
Na 0.0000 0.0000 0.8773
Na 0.5000 0.5000 0.3773
Na 0.5000 0.5000 0.6227
B 0.0000 0.5000 0.2500
B 0.0000 0.5000 0.7500
B 0.5000 0.0000 0.2500
B 0.5000 0.0000 0.7500
As 0.0000 0.0000 0.5000
As 0.5000 0.5000 0.0000

Its symmetry is I4/mmm. The calculation puts the volume at 144.31 Å³/cell. The formation energy is 0.5631 eV/atom.

***

Record 2
A plane-wave DFT calculation with PBEsol was carried out for a relaxed structure of MnReF3.

abc: 4.1942 4.1942 4.1942
angles: 90.00 90.00 90.00
Element x y z (fractional)
Mn 0.0000 0.0000 0.0000
Re 0.5000 0.5000 0.5000
F 0.0000 0.0000 0.5000
F 0.0000 0.5000 0.0000
F 0.5000 0.0000 0.0000

Its symmetry is Pm-3m. The calculation puts the volume at 73.78 Å³/cell. For the distance to the lowest polymorph of the same formula, the calculation gives 0.000 eV/atom. The uncorrected formation energy comes out at -0.43 eV/atom.

***

Record 3
A plane-wave DFT calculation with PBEsol was carried out for a relaxed structure of Al2ZnP.

abc: 2.8647 2.8647 25.9332
angles: 90.00 90.00 120.00
Element x y z (fractional)
Al 0.0000 0.0000 0.0000
Al 0.0000 0.0000 0.2452
Al 0.3333 0.6667 0.6667
Al 0.3333 0.6667 0.9119
Al 0.6667 0.3333 0.3333
Al 0.6667 0.3333 0.5785
Zn 0.0000 0.0000 0.4938
Zn 0.3333 0.6667 0.1604
Zn 0.6667 0.3333 0.8271
P 0.0000 0.0000 0.7444
P 0.3333 0.6667 0.4111
P 0.6667 0.3333 0.0777

Its symmetry is R3m. The calculation puts the volume at 184.31 Å³/cell. The formation energy is 0.1521 eV/atom. For the distance to the lowest polymorph of the same formula, the calculation gives 0.097 eV/atom.

***

Record 4
A plane-wave DFT calculation with PBEsol was carried out for a relaxed structure of AlPt2.

abc: 5.3814 4.0585 7.9099
angles: 90.00 90.00 90.00
Element x y z (fractional)
Al 0.1861 0.2500 0.1025
Al 0.3139 0.7500 0.6025
Al 0.6861 0.2500 0.3975
Al 0.8139 0.7500 0.8975
Pt 0.0469 0.2500 0.7875
Pt 0.1601 0.2500 0.4308
Pt 0.3399 0.7500 0.9308
Pt 0.4531 0.7500 0.2875
Pt 0.5469 0.2500 0.7125
Pt 0.6601 0.2500 0.0692
Pt 0.8399 0.7500 0.5692
Pt 0.9531 0.7500 0.2125

Its symmetry is Pnma. The calculation puts the volume at 172.76 Å³/cell. The formation energy is -0.8615 eV/atom.

***

Record 5
A plane-wave DFT calculation with PBEsol was carried out for a relaxed structure of Li3FeSi6O15.

abc: 11.0668 11.0668 9.8590
angles: 90.00 90.00 99.40
Element x y z (fractional)
Li 0.0028 0.4972 0.7500
Li 0.0856 0.9144 0.7619
Li 0.2485 0.2485 0.5000
Li 0.2515 0.2515 0.0000
Li 0.4144 0.5856 0.2619
Li 0.4972 0.0028 0.2500
Li 0.5028 0.9972 0.7500
Li 0.5856 0.4144 0.7381
Li 0.7485 0.7485 0.0000
Li 0.7515 0.7515 0.5000
Li 0.9144 0.0856 0.2381
Li 0.9972 0.5028 0.2500
Fe 0.1615 0.3385 0.2500
Fe 0.3385 0.1615 0.7500
Fe 0.6615 0.8385 0.2500
Fe 0.8385 0.6615 0.7500
Si 0.0237 0.7583 0.0041
Si 0.0469 0.1710 0.7005
Si 0.0770 0.7100 0.5511
Si 0.1710 0.0469 0.2995
Si 0.2100 0.5770 0.0511
Si 0.2417 0.9763 0.0041
Si 0.2583 0.5237 0.5041
Si 0.2900 0.9230 0.5511
Si 0.3290 0.4531 0.7995
Si 0.4230 0.7900 0.0511
Si 0.4531 0.3290 0.2005
Si 0.4763 0.7417 0.5041
Si 0.5237 0.2583 0.4959
Si 0.5469 0.6710 0.7995
Si 0.5770 0.2100 0.9489
Si 0.6710 0.5469 0.2005
Si 0.7100 0.0770 0.4489
Si 0.7417 0.4763 0.4959
Si 0.7583 0.0237 0.9959
Si 0.7900 0.4230 0.9489
Si 0.8290 0.9531 0.7005
Si 0.9230 0.2900 0.4489
Si 0.9531 0.8290 0.2995
Si 0.9763 0.2417 0.9959
O 0.0043 0.3514 0.3261
O 0.0070 0.7570 0.4226
O 0.0181 0.2462 0.8364
O 0.0290 0.9710 0.2857
O 0.0936 0.2556 0.0913
O 0.1084 0.8916 0.9654
O 0.1109 0.6544 0.9851
O 0.1486 0.4957 0.1739
O 0.1544 0.6109 0.4851
O 0.1629 0.1855 0.3351
O 0.1697 0.8303 0.6139
O 0.1855 0.1629 0.6649
O 0.2430 0.9930 0.4226
O 0.2444 0.4064 0.4087
O 0.2462 0.0181 0.1636
O 0.2538 0.4819 0.6636
O 0.2556 0.0936 0.9087
O 0.2570 0.5070 0.9226
O 0.3145 0.3371 0.1649
O 0.3303 0.6697 0.1139
O 0.3371 0.3145 0.8351
O 0.3456 0.8891 0.9851
O 0.3514 0.0043 0.6739
O 0.3891 0.8456 0.4851
O 0.3916 0.6084 0.4654
O 0.4064 0.2444 0.5913
O 0.4710 0.5290 0.7857
O 0.4819 0.2538 0.3364
O 0.4930 0.7430 0.9226
O 0.4957 0.1486 0.8261
O 0.5043 0.8514 0.1739
O 0.5070 0.2570 0.0774
O 0.5181 0.7462 0.6636
O 0.5290 0.4710 0.2143
O 0.5936 0.7556 0.4087
O 0.6084 0.3916 0.5346
O 0.6109 0.1544 0.5149
O 0.6486 0.9957 0.3261
O 0.6544 0.1109 0.0149
O 0.6629 0.6855 0.1649
O 0.6697 0.3303 0.8861
O 0.6855 0.6629 0.8351
O 0.7430 0.4930 0.0774
O 0.7444 0.9064 0.0913
O 0.7462 0.5181 0.3364
O 0.7538 0.9819 0.8364
O 0.7556 0.5936 0.5913
O 0.7570 0.0070 0.5774
O 0.8145 0.8371 0.3351
O 0.8303 0.1697 0.3861
O 0.8371 0.8145 0.6649
O 0.8456 0.3891 0.5149
O 0.8514 0.5043 0.8261
O 0.8891 0.3456 0.0149
O 0.8916 0.1084 0.0346
O 0.9064 0.7444 0.9087
O 0.9710 0.0290 0.7143
O 0.9819 0.7538 0.1636
O 0.9930 0.2430 0.5774
O 0.9957 0.6486 0.6739

Its symmetry is Cmce. The calculation puts the volume at 1191.28 Å³/cell. For the distance to the lowest polymorph of the same formula, the calculation gives 0.000 eV/atom. The uncorrected formation energy comes out at -2.49 eV/atom.

***

Record 6
A plane-wave DFT calculation with PBEsol was carried out for a relaxed structure of TaOs2Ru.

abc: 3.8780 3.8780 7.7807
angles: 90.00 90.00 90.00
Element x y z (fractional)
Ta 0.0000 0.0000 0.0000
Ta 0.5000 0.5000 0.5000
Os 0.0000 0.0000 0.5000
Os 0.0000 0.5000 0.7500
Os 0.5000 0.0000 0.2500
Os 0.5000 0.5000 0.0000
Ru 0.0000 0.5000 0.2500
Ru 0.5000 0.0000 0.7500

Its symmetry is I-4m2. The calculation puts the volume at 117.01 Å³/cell. The formation energy is -0.0937 eV/atom. For the distance to the lowest polymorph of the same formula, the calculation gives 0.056 eV/atom.

***

Record 7
A plane-wave DFT calculation with PBEsol was carried out for a relaxed structure of KBOF2.

abc: 9.7336 6.9302 15.0326
angles: 90.00 128.21 90.00
Element x y z (fractional)
K 0.0985 0.0974 0.4292
K 0.0985 0.4026 0.9292
K 0.2891 0.5678 0.5837
K 0.2891 0.9322 0.0837
K 0.3467 0.7133 0.8544
K 0.3467 0.7867 0.3544
K 0.6533 0.2133 0.6456
K 0.6533 0.2867 0.1456
K 0.7109 0.0678 0.9163
K 0.7109 0.4322 0.4163
K 0.9015 0.5974 0.0708
K 0.9015 0.9026 0.5708
B 0.0867 0.1486 0.1755
B 0.0867 0.3514 0.6755
B 0.2891 0.1059 0.6920
B 0.2891 0.3941 0.1920
B 0.3428 0.2300 0.8650
B 0.3428 0.2700 0.3650
B 0.6572 0.7300 0.6350
B 0.6572 0.7700 0.1350
B 0.7109 0.6059 0.8080
B 0.7109 0.8941 0.3080
B 0.9133 0.6486 0.3245
B 0.9133 0.8514 0.8245
O 0.1495 0.2418 0.6266
O 0.1495 0.2582 0.1266
O 0.1972 0.1420 0.2962
O 0.1972 0.3580 0.7962
O 0.3549 0.0781 0.8061
O 0.3549 0.4219 0.3061
O 0.6451 0.5781 0.6939
O 0.6451 0.9219 0.1939
O 0.8028 0.6420 0.2038
O 0.8028 0.8580 0.7038
O 0.8505 0.7418 0.8734
O 0.8505 0.7582 0.3734
F 0.0536 0.5494 0.6321
F 0.0536 0.9506 0.1321
F 0.0882 0.7196 0.3698
F 0.0882 0.7804 0.8698
F 0.2287 0.5824 0.1341
F 0.2287 0.9176 0.6341
F 0.3393 0.1499 0.9535
F 0.3393 0.3501 0.4535
F 0.4291 0.1595 0.6866
F 0.4291 0.3405 0.1866
F 0.4938 0.6574 0.0703
F 0.4938 0.8426 0.5703
F 0.5062 0.1574 0.4297
F 0.5062 0.3426 0.9297
F 0.5709 0.6595 0.8134
F 0.5709 0.8405 0.3134
F 0.6607 0.6499 0.5465
F 0.6607 0.8501 0.0465
F 0.7713 0.0824 0.3659
F 0.7713 0.4176 0.8659
F 0.9118 0.2196 0.1302
F 0.9118 0.2804 0.6302
F 0.9464 0.0494 0.8679
F 0.9464 0.4506 0.3679

Its symmetry is P2_1/c. The calculation puts the volume at 796.76 Å³/cell. The uncorrected formation energy comes out at -2.82 eV/atom.

***

Record 8
A plane-wave DFT calculation with PBEsol was carried out for a relaxed structure of NbRuN2.

abc: 3.1954 3.1954 16.9182
angles: 90.00 90.00 120.00
Element x y z (fractional)
Nb 0.0000 0.0000 0.0000
Nb 0.3333 0.6667 0.6667
Nb 0.6667 0.3333 0.3333
Ru 0.0000 0.0000 0.5000
Ru 0.3333 0.6667 0.1667
Ru 0.6667 0.3333 0.8333
N 0.0000 0.0000 0.1174
N 0.0000 0.0000 0.8826
N 0.3333 0.6667 0.5492
N 0.3333 0.6667 0.7841
N 0.6667 0.3333 0.2159
N 0.6667 0.3333 0.4508

Its symmetry is R-3m. The calculation puts the volume at 149.60 Å³/cell. The uncorrected formation energy comes out at 0.33 eV/atom.

***

Record 9
A plane-wave DFT calculation with PBEsol was carried out for a relaxed structure of SrCdF2.

abc: 6.5506 6.5506 6.5506
angles: 90.00 90.00 90.00
Element x y z (fractional)
Sr 0.0000 0.0000 0.0000
Sr 0.0000 0.5000 0.5000
Sr 0.5000 0.0000 0.5000
Sr 0.5000 0.5000 0.0000
Cd 0.0000 0.0000 0.5000
Cd 0.0000 0.5000 0.0000
Cd 0.5000 0.0000 0.0000
Cd 0.5000 0.5000 0.5000
F 0.2500 0.2500 0.2500
F 0.2500 0.2500 0.7500
F 0.2500 0.7500 0.2500
F 0.2500 0.7500 0.7500
F 0.7500 0.2500 0.2500
F 0.7500 0.2500 0.7500
F 0.7500 0.7500 0.2500
F 0.7500 0.7500 0.7500

Its symmetry is Fm-3m. The calculation puts the volume at 281.09 Å³/cell. The uncorrected formation energy comes out at -2.24 eV/atom.

***

Record 10
A plane-wave DFT calculation with PBEsol was carried out for a relaxed structure of MnCoSnRh.

abc: 6.0678 6.0678 6.0678
angles: 90.00 90.00 90.00
Element x y z (fractional)
Mn 0.0000 0.0000 0.0000
Mn 0.0000 0.5000 0.5000
Mn 0.5000 0.0000 0.5000
Mn 0.5000 0.5000 0.0000
Co 0.2500 0.2500 0.2500
Co 0.2500 0.7500 0.7500
Co 0.7500 0.2500 0.7500
Co 0.7500 0.7500 0.2500
Sn 0.0000 0.0000 0.5000
Sn 0.0000 0.5000 0.0000
Sn 0.5000 0.0000 0.0000
Sn 0.5000 0.5000 0.5000
Rh 0.2500 0.2500 0.7500
Rh 0.2500 0.7500 0.2500
Rh 0.7500 0.2500 0.2500
Rh 0.7500 0.7500 0.7500

Its symmetry is F-43m. The calculation puts the volume at 223.41 Å³/cell. The formation energy is -0.2024 eV/atom.

***

Record 11
A plane-wave DFT calculation with PBEsol was carried out for a relaxed structure of Te3Se.

abc: 6.1499 8.5816 4.3501
angles: 90.00 90.00 90.00
Element x y z (fractional)
Te 0.0000 0.0000 0.0000
Te 0.0000 0.2578 0.5000
Te 0.0000 0.7422 0.5000
Te 0.5000 0.2422 0.5000
Te 0.5000 0.5000 0.0000
Te 0.5000 0.7578 0.5000
Se 0.0000 0.5000 0.0000
Se 0.5000 0.0000 0.0000

Its symmetry is Cmmm. The calculation puts the volume at 229.58 Å³/cell. The uncorrected formation energy comes out at 0.03 eV/atom.

***

Record 12
A plane-wave DFT calculation with PBEsol was carried out for a relaxed structure of TlTcRh2.

abc: 5.6359 7.6569 2.8309
angles: 90.00 90.00 90.00
Element x y z (fractional)
Tl 0.0000 0.0000 0.0000
Tl 0.5000 0.5000 0.0000
Tc 0.0000 0.5000 0.0000
Tc 0.5000 0.0000 0.0000
Rh 0.2500 0.2500 0.5000
Rh 0.2500 0.7500 0.5000
Rh 0.7500 0.2500 0.5000
Rh 0.7500 0.7500 0.5000

Its symmetry is Cmmm. The calculation puts the volume at 122.17 Å³/cell. The formation energy is 0.2891 eV/atom. For the distance to the lowest polymorph of the same formula, the calculation gives 0.000 eV/atom.

***

Record 13
A plane-wave DFT calculation with PBEsol was carried out for a relaxed structure of Dy6Al43Mo4.

abc: 10.9101 10.9101 17.6071
angles: 90.00 90.00 120.00
Element x y z (fractional)
Dy 0.0000 0.4686 0.0951
Dy 0.0000 0.4686 0.4049
Dy 0.0000 0.5314 0.5951
Dy 0.0000 0.5314 0.9049
Dy 0.4686 0.0000 0.0951
Dy 0.4686 0.0000 0.4049
Dy 0.4686 0.4686 0.5951
Dy 0.4686 0.4686 0.9049
Dy 0.5314 0.0000 0.5951
Dy 0.5314 0.0000 0.9049
Dy 0.5314 0.5314 0.0951
Dy 0.5314 0.5314 0.4049
Al 0.0000 0.1472 0.7500
Al 0.0000 0.1591 0.1149
Al 0.0000 0.1591 0.3851
Al 0.0000 0.2539 0.5300
Al 0.0000 0.2539 0.9700
Al 0.0000 0.7461 0.0300
Al 0.0000 0.7461 0.4700
Al 0.0000 0.8409 0.6149
Al 0.0000 0.8409 0.8851
Al 0.0000 0.8528 0.2500
Al 0.1472 0.0000 0.7500
Al 0.1472 0.1472 0.2500
Al 0.1476 0.5512 0.2500
Al 0.1476 0.5963 0.7500
Al 0.1573 0.3937 0.6638
Al 0.1573 0.3937 0.8362
Al 0.1573 0.7636 0.1638
Al 0.1573 0.7636 0.3362
Al 0.1591 0.0000 0.1149
Al 0.1591 0.0000 0.3851
Al 0.1591 0.1591 0.6149
Al 0.1591 0.1591 0.8851
Al 0.2364 0.3937 0.1638
Al 0.2364 0.3937 0.3362
Al 0.2364 0.8427 0.6638
Al 0.2364 0.8427 0.8362
Al 0.2470 0.4939 0.0000
Al 0.2470 0.4939 0.5000
Al 0.2470 0.7530 0.0000
Al 0.2470 0.7530 0.5000
Al 0.2539 0.0000 0.5300
Al 0.2539 0.0000 0.9700
Al 0.2539 0.2539 0.0300
Al 0.2539 0.2539 0.4700
Al 0.3333 0.6667 0.1255
Al 0.3333 0.6667 0.3745
Al 0.3333 0.6667 0.6255
Al 0.3333 0.6667 0.8745
Al 0.3937 0.1573 0.6638
Al 0.3937 0.1573 0.8362
Al 0.3937 0.2364 0.1638
Al 0.3937 0.2364 0.3362
Al 0.4037 0.5512 0.7500
Al 0.4037 0.8524 0.2500
Al 0.4488 0.5963 0.2500
Al 0.4488 0.8524 0.7500
Al 0.4939 0.2470 0.0000
Al 0.4939 0.2470 0.5000
Al 0.5061 0.7530 0.0000
Al 0.5061 0.7530 0.5000
Al 0.5512 0.1476 0.2500
Al 0.5512 0.4037 0.7500
Al 0.5963 0.1476 0.7500
Al 0.5963 0.4488 0.2500
Al 0.6063 0.7636 0.6638
Al 0.6063 0.7636 0.8362
Al 0.6063 0.8427 0.1638
Al 0.6063 0.8427 0.3362
Al 0.6667 0.3333 0.1255
Al 0.6667 0.3333 0.3745
Al 0.6667 0.3333 0.6255
Al 0.6667 0.3333 0.8745
Al 0.7461 0.0000 0.0300
Al 0.7461 0.0000 0.4700
Al 0.7461 0.7461 0.5300
Al 0.7461 0.7461 0.9700
Al 0.7530 0.2470 0.0000
Al 0.7530 0.2470 0.5000
Al 0.7530 0.5061 0.0000
Al 0.7530 0.5061 0.5000
Al 0.7636 0.1573 0.1638
Al 0.7636 0.1573 0.3362
Al 0.7636 0.6063 0.6638
Al 0.7636 0.6063 0.8362
Al 0.8409 0.0000 0.6149
Al 0.8409 0.0000 0.8851
Al 0.8409 0.8409 0.1149
Al 0.8409 0.8409 0.3851
Al 0.8427 0.2364 0.6638
Al 0.8427 0.2364 0.8362
Al 0.8427 0.6063 0.1638
Al 0.8427 0.6063 0.3362
Al 0.8524 0.4037 0.2500
Al 0.8524 0.4488 0.7500
Al 0.8528 0.0000 0.2500
Al 0.8528 0.8528 0.7500
Mo 0.0000 0.0000 0.0000
Mo 0.0000 0.0000 0.5000
Mo 0.0000 0.2709 0.2500
Mo 0.0000 0.7291 0.7500
Mo 0.2709 0.0000 0.2500
Mo 0.2709 0.2709 0.7500
Mo 0.7291 0.0000 0.7500
Mo 0.7291 0.7291 0.2500

Its symmetry is P6_3/mcm. The calculation puts the volume at 1815.02 Å³/cell. The formation energy is -0.3153 eV/atom.

***

Record 14
A plane-wave DFT calculation with PBEsol was carried out for a relaxed structure of HfSiSb2Te.

abc: 5.4455 5.4455 5.3466
angles: 90.00 90.00 90.00
Element x y z (fractional)
Hf 0.0000 0.0000 0.0000
Si 0.5000 0.5000 0.5000
Sb 0.0000 0.5000 0.0000
Sb 0.5000 0.0000 0.0000
Te 0.0000 0.0000 0.5000

Its symmetry is P4/mmm. The calculation puts the volume at 158.54 Å³/cell. For the distance to the lowest polymorph of the same formula, the calculation gives 0.000 eV/atom. The uncorrected formation energy comes out at 0.64 eV/atom.

***

| no. | calculated total energy (eV/f.u.) |
| --- | --- |
| 1 | -19.12 |
| 2 | -31.03 |
| 3 | -14.95 |
| 4 | -20.60 |
| 5 | -190.29 |
| 6 | -47.53 |
| 7 | -31.34 |
| 8 | -36.74 |
| 9 | -15.87 |
| 10 | -30.71 |
| 11 | -14.30 |
| 12 | -29.02 |
| 13 | -269.59 |
| 14 | -25.68 |